Record 1
Be6AlPd12: optimized geometry, GGA-PBE.

Properties
Calculated total energy: -5.038 eV/atom
D(E_F): 7.8 states/eV/f.u.
Energy of formation: -0.384 eV/atom

Cell lengths 6.934, 6.934, 6.934 Å; angles 109.59, 109.59, 109.59 degrees
Fractional coordinates of all 19 atoms:
1 Be 0.804 0.353 0.662
2 Be 0.353 0.662 0.804
3 Be 0.196 0.647 0.338
4 Be 0.338 0.196 0.647
5 Be 0.647 0.338 0.196
6 Be 0.662 0.804 0.353
7 Pd 0.847 0.318 0.007
8 Pd 0.356 0.438 0.156
9 Pd 0.153 0.682 0.993
10 Pd 0.844 0.644 0.562
11 Pd 0.318 0.007 0.847
12 Pd 0.438 0.156 0.356
13 Pd 0.682 0.993 0.153
14 Pd 0.562 0.844 0.644
15 Pd 0.007 0.847 0.318
16 Pd 0.993 0.153 0.682
17 Pd 0.156 0.356 0.438
18 Pd 0.644 0.562 0.844
19 Al 0.000 0.000 0.000

---

Record 2
BeAlPd2: optimized geometry, GGA-PBE.

Properties
Calculated total energy: -5.148 eV/atom
D(E_F): 1.3 states/eV/f.u.
Energy of formation: -0.684 eV/atom

Cell lengths 2.934, 4.229, 4.229 Å; angles 90.00, 90.00, 90.00 degrees
Fractional coordinates of all 4 atoms:
1 Be 0.500 0.000 0.000
2 Pd 0.000 0.500 0.000
3 Pd 0.000 0.000 0.500
4 Al 0.500 0.500 0.500

---

Record 3
BeAlPd2: optimized geometry, GGA-PBE.

Properties
Calculated total energy: -5.166 eV/atom
D(E_F): 0.8 states/eV/f.u.
Energy of formation: -0.702 eV/atom

Cell lengths 2.852, 4.277, 8.549 Å; angles 90.00, 90.00, 90.00 degrees
Fractional coordinates of all 8 atoms:
1 Be 0.500 0.750 0.113
2 Be 0.500 0.250 0.887
3 Al 0.500 0.250 0.380
4 Al 0.500 0.750 0.620
5 Pd 0.000 0.250 0.113
6 Pd 0.000 0.250 0.655
7 Pd 0.000 0.750 0.887
8 Pd 0.000 0.750 0.345

---

Record 4
BeAl3Pd: optimized geometry, GGA-PBE.

Properties
Calculated total energy: -3.615 eV/atom
D(E_F): 1.7 states/eV/f.u.
ΔE to the lowest computed polymorph: 16.7 kJ/mol of atoms
Energy of formation: 0.415 eV/atom

Cell lengths 4.713, 4.713, 4.713 Å; angles 90.00, 90.00, 90.00 degrees
Fractional coordinates of all 5 atoms:
1 Al 0.500 0.000 0.000
2 Al 0.000 0.000 0.500
3 Al 0.000 0.500 0.000
4 Pd 0.000 0.000 0.000
5 Be 0.500 0.500 0.500

---

Record 5
BeAl3Pd: optimized geometry, GGA-PBE.

Properties
Calculated total energy: -3.788 eV/atom
D(E_F): 1.6 states/eV/f.u.
ΔE to the lowest computed polymorph: 0.0 kJ/mol of atoms
Energy of formation: 0.242 eV/atom

Cell lengths 4.275, 4.275, 4.275 Å; angles 90.00, 90.00, 90.00 degrees
Fractional coordinates of all 5 atoms:
1 Al 0.500 0.000 0.000
2 Al 0.000 0.500 0.000
3 Al 0.000 0.000 0.500
4 Pd 0.500 0.500 0.500
5 Be 0.000 0.000 0.000

---

Record 6
BeAl5Pd6: optimized geometry, GGA-PBE.

Properties
Calculated total energy: -5.271 eV/atom
D(E_F): 6.1 states/eV/f.u.
Energy of formation: -0.805 eV/atom

Cell lengths 4.266, 6.199, 7.421 Å; angles 114.69, 106.70, 90.00 degrees
Fractional coordinates of all 12 atoms:
1 Pd 0.162 0.406 0.324
2 Pd 0.838 0.594 0.676
3 Pd 0.500 0.242 0.000
4 Pd 0.162 0.918 0.324
5 Pd 0.838 0.082 0.676
6 Pd 0.500 0.758 0.000
7 Al 0.332 0.832 0.665
8 Al 0.666 0.666 0.333
9 Al 0.000 0.500 0.000
10 Al 0.334 0.334 0.667
11 Al 0.668 0.168 0.335
12 Be 0.000 0.000 0.000

---

Record 7
BeAlPd2: optimized geometry, GGA-PBE.

Properties
Calculated total energy: -4.455 eV/atom
D(E_F): 1.8 states/eV/f.u.
Energy of formation: 0.008 eV/atom

Cell lengths 5.503, 5.503, 5.503 Å; angles 57.01, 150.80, 132.19 degrees
Fractional coordinates of all 4 atoms:
1 Pd 0.000 0.216 0.216
2 Pd 0.000 0.784 0.784
3 Al 0.000 0.500 0.500
4 Be 0.000 0.000 0.000

---

Record 8
BeAl6Pd12: optimized geometry, GGA-PBE.

Properties
Calculated total energy: -5.326 eV/atom
D(E_F): 7.4 states/eV/f.u.
Energy of formation: -0.668 eV/atom

Cell lengths 6.576, 6.576, 6.576 Å; angles 90.30, 90.30, 90.30 degrees
Fractional coordinates of all 19 atoms:
1 Pd 0.999 0.132 0.339
2 Pd 0.564 0.201 0.447
3 Pd 0.868 0.661 0.001
4 Pd 0.661 0.001 0.868
5 Pd 0.201 0.447 0.564
6 Pd 0.339 0.999 0.132
7 Pd 0.436 0.799 0.553
8 Pd 0.001 0.868 0.661
9 Pd 0.553 0.436 0.799
10 Pd 0.447 0.564 0.201
11 Pd 0.799 0.553 0.436
12 Pd 0.132 0.339 0.999
13 Al 0.884 0.265 0.695
14 Al 0.305 0.116 0.735
15 Al 0.695 0.884 0.265
16 Al 0.735 0.305 0.116
17 Al 0.116 0.735 0.305
18 Al 0.265 0.695 0.884
19 Be 0.000 0.000 0.000

---

Record 9
BeAlPd2: optimized geometry, GGA-PBE.

Properties
Calculated total energy: -5.163 eV/atom
D(E_F): 1.2 states/eV/f.u.
Energy of formation: -0.699 eV/atom

Cell lengths 2.884, 2.884, 6.246 Å; angles 90.00, 90.00, 90.00 degrees
Fractional coordinates of all 4 atoms:
1 Pd 0.000 0.000 0.770
2 Pd 0.000 0.000 0.230
3 Be 0.500 0.500 0.000
4 Al 0.500 0.500 0.500

---

Record 10
PmBeAl2Pd4: optimized geometry, GGA-PBE.

Properties
Calculated total energy: -5.379 eV/atom
D(E_F): 4.1 states/eV/f.u.
Energy of formation: -0.788 eV/atom

Cell lengths 4.241, 4.241, 8.918 Å; angles 76.24, 76.24, 60.00 degrees
Fractional coordinates of all 8 atoms:
1 Pd 0.408 0.408 0.777
2 Pd 0.592 0.592 0.223
3 Pd 0.136 0.136 0.592
4 Pd 0.864 0.864 0.408
5 Pm 0.000 0.000 0.000
6 Be 0.500 0.500 0.500
7 Al 0.763 0.763 0.710
8 Al 0.237 0.237 0.290

---

Record 11
Pm2Be3AlPd4: optimized geometry, GGA-PBE.

Properties
Calculated total energy: -5.150 eV/atom
D(E_F): 5.7 states/eV/f.u.
Energy of formation: -0.630 eV/atom

Cell lengths 4.116, 4.116, 9.915 Å; angles 90.00, 90.00, 90.00 degrees
Fractional coordinates of all 10 atoms:
1 Pd 0.000 0.000 0.000
2 Pd 0.500 0.000 0.640
3 Pd 0.000 0.500 0.360
4 Pd 0.500 0.500 0.000
5 Be 0.000 0.000 0.500
6 Be 0.500 0.000 0.884
7 Be 0.000 0.500 0.116
8 Pm 0.000 0.500 0.757
9 Pm 0.500 0.000 0.243
10 Al 0.500 0.500 0.500

---

Record 12
PmBeAlPd: optimized geometry, GGA-PBE.

Properties
Calculated total energy: -4.709 eV/atom
D(E_F): 1.8 states/eV/f.u.
Energy of formation: -0.356 eV/atom

Cell lengths 4.669, 4.669, 4.669 Å; angles 60.00, 60.00, 60.00 degrees
Fractional coordinates of all 4 atoms:
1 Al 0.000 0.000 0.000
2 Pd 0.750 0.750 0.750
3 Pm 0.500 0.500 0.500
4 Be 0.250 0.250 0.250

---

Q: Among the records above, which one has the highest D(E_F)?
A: Be6AlPd12

---

Please write out number 8 again, unchanged.
BeAl6Pd12: optimized geometry, GGA-PBE.

Properties
Calculated total energy: -5.326 eV/atom
D(E_F): 7.4 states/eV/f.u.
Energy of formation: -0.668 eV/atom

Cell lengths 6.576, 6.576, 6.576 Å; angles 90.30, 90.30, 90.30 degrees
Fractional coordinates of all 19 atoms:
1 Pd 0.999 0.132 0.339
2 Pd 0.564 0.201 0.447
3 Pd 0.868 0.661 0.001
4 Pd 0.661 0.001 0.868
5 Pd 0.201 0.447 0.564
6 Pd 0.339 0.999 0.132
7 Pd 0.436 0.799 0.553
8 Pd 0.001 0.868 0.661
9 Pd 0.553 0.436 0.799
10 Pd 0.447 0.564 0.201
11 Pd 0.799 0.553 0.436
12 Pd 0.132 0.339 0.999
13 Al 0.884 0.265 0.695
14 Al 0.305 0.116 0.735
15 Al 0.695 0.884 0.265
16 Al 0.735 0.305 0.116
17 Al 0.116 0.735 0.305
18 Al 0.265 0.695 0.884
19 Be 0.000 0.000 0.000

---

Q: energy of formation of number 9 (BeAlPd2)?
A: -0.699 eV/atom